## UNb2As (PBE-GGA)

Data for an optimized crystal structure of UNb2As.

Output
* calculated density: 10.7 g/cm3
* energy: -8.69 eV/atom
* E_form: 328 meV per atom

```
data_UNb2As
_chemical_formula_sum 'U3 Nb6 As3'
_cell_length_a 3.0715
_cell_length_b 3.0715
_cell_length_c 28.4803
_cell_angle_alpha 90.00
_cell_angle_beta 90.00
_cell_angle_gamma 120.00
_space_group_name_H-M_alt 'R -3 m'
_space_group_IT_number 166
_space_group_name_Hall '-R 3 2"'
loop_
_atom_site_label
_atom_site_fract_x
_atom_site_fract_y
_atom_site_fract_z
_atom_site_occupancy
U1 0.0000 0.0000 0.0000 1
Nb1 0.0000 0.0000 0.0967 1
As1 0.0000 0.0000 0.5000 1
```

## Nd10SmHo6 (PBE-GGA)

Data for an optimized crystal structure of Nd10SmHo6.

Output
* calculated density: 7.4 g/cm3
* energy: -4.57 eV/atom
* E_form: 130 meV per atom

```
data_Nd10SmHo6
_chemical_formula_sum 'Nd10 Sm1 Ho6'
_cell_length_a 9.8555
_cell_length_b 9.8555
_cell_length_c 6.9221
_cell_angle_alpha 90.00
_cell_angle_beta 90.00
_cell_angle_gamma 120.00
_space_group_name_H-M_alt 'P -3 1 m'
_space_group_IT_number 162
_space_group_name_Hall '-P 3 2'
loop_
_atom_site_label
_atom_site_fract_x
_atom_site_fract_y
_atom_site_fract_z
_atom_site_occupancy
Nd1 0.0000 0.2763 0.3180 1
Nd2 0.3333 0.6667 0.0000 1
Nd3 0.3333 0.6667 0.5000 1
Sm1 0.0000 0.0000 0.0000 1
Ho1 0.0000 0.3701 0.8106 1
```

## Ac4Pr3Tl4 (PBE-GGA)

Data for an optimized crystal structure of Ac4Pr3Tl4.

Output
* calculated density: 9.0 g/cm3
* energy: -3.90 eV/atom
* E_form: -246 meV per atom

```
data_Ac4Pr3Tl4
_chemical_formula_sum 'Ac8 Pr6 Tl8'
_cell_length_a 3.887
_cell_length_b 10.041
_cell_length_c 20.380
_cell_angle_alpha 90.00
_cell_angle_beta 90.00
_cell_angle_gamma 90.00
_space_group_name_H-M_alt 'I m m m'
_space_group_IT_number 71
_space_group_name_Hall '-I 2 2'
loop_
_atom_site_label
_atom_site_fract_x
_atom_site_fract_y
_atom_site_fract_z
_atom_site_occupancy
Ac1 0.000 0.180 0.164 1
Pr1 0.000 0.000 0.408 1
Pr2 0.000 0.500 0.500 1
Tl1 0.000 0.279 0.000 1
Tl2 0.000 0.500 0.222 1
```

## Er4MgIr5 (PBE-GGA)

Data for an optimized crystal structure of Er4MgIr5.

Output
* calculated density: 14.7 g/cm3
* energy: -7.18 eV/atom
* E_form: -761 meV per atom

```
data_Er4MgIr5
_chemical_formula_sum 'Er4 Mg1 Ir5'
_cell_length_a 3.370
_cell_length_b 3.370
_cell_length_c 16.481
_cell_angle_alpha 90.00
_cell_angle_beta 90.00
_cell_angle_gamma 90.00
_space_group_name_H-M_alt 'P 4/m m m'
_space_group_IT_number 123
_space_group_name_Hall '-P 4 2'
loop_
_atom_site_label
_atom_site_fract_x
_atom_site_fract_y
_atom_site_fract_z
_atom_site_occupancy
Er1 0.000 0.000 0.103 1
Er2 0.000 0.000 0.311 1
Mg1 0.000 0.000 0.500 1
Ir1 0.500 0.500 0.000 1
Ir2 0.500 0.500 0.206 1
Ir3 0.500 0.500 0.411 1
```

## CsBaNi2Br8 (PBE-GGA)

Data for an optimized crystal structure of CsBaNi2Br8.

Output
* formation energy (no corrections): -21.88 kcal/mol of atoms
* calculated density: 3.7 g/cm3
* energy: -3.26 eV/atom

```
data_CsBaNi2Br8
_chemical_formula_sum 'Cs1 Ba1 Ni2 Br8'
_cell_length_a 7.0128
_cell_length_b 7.0128
_cell_length_c 10.8092
_cell_angle_alpha 90.00
_cell_angle_beta 90.00
_cell_angle_gamma 120.00
_space_group_name_H-M_alt 'P -3'
_space_group_IT_number 147
loop_
_space_group_symop_operation_xyz
'x,y,z'
'-x,-y,-z'
'-y,x-y,z'
'y,-x+y,-z'
'-x+y,-x,z'
'x-y,x,-z'
loop_
_atom_site_label
_atom_site_fract_x
_atom_site_fract_y
_atom_site_fract_z
_atom_site_occupancy
Cs1 0.0000 0.0000 0.0000 1
Ba1 0.0000 0.0000 0.5000 1
Ni1 0.3333 0.6667 0.7577 1
Br1 0.9996 0.3557 0.6955 1
Br2 0.3333 0.6667 0.9720 1
```

## SmB11 (PBE-GGA)

Data for an optimized crystal structure of SmB11.

Output
* calculated density: 4.1 g/cm3
* energy: -5.80 eV/atom
* E_form: 718 meV per atom

```
data_SmB11
_chemical_formula_sum 'Sm4 B44'
_cell_length_a 7.013
_cell_length_b 7.013
_cell_length_c 8.794
_cell_angle_alpha 90.00
_cell_angle_beta 90.00
_cell_angle_gamma 90.00
_space_group_name_H-M_alt 'I 41/a m d'
_space_group_IT_number 141
loop_
_space_group_symop_operation_xyz
'x,y,z'
'-x,-y,-z'
'-y+1/4,x+3/4,z+1/4'
'y+1/4,-x+3/4,-z+1/4'
'-x+1/2,-y,z+1/2'
'x+1/2,y,-z+1/2'
'y+1/4,-x+1/4,z+3/4'
'-y+1/4,x+1/4,-z+3/4'
'x,-y,-z'
'-x,y,z'
'-y+1/4,-x+1/4,-z+3/4'
'y+1/4,x+1/4,z+3/4'
'-x+1/2,y,-z+1/2'
'x+1/2,-y,z+1/2'
'y+1/4,x+3/4,-z+1/4'
'-y+1/4,-x+3/4,z+1/4'
'x+1/2,y+1/2,z+1/2'
'-x+1/2,-y+1/2,-z+1/2'
'-y+3/4,x+1/4,z+3/4'
'y+3/4,-x+1/4,-z+3/4'
'-x,-y+1/2,z'
'x,y+1/2,-z'
'y+3/4,-x+3/4,z+1/4'
'-y+3/4,x+3/4,-z+1/4'
'x+1/2,-y+1/2,-z+1/2'
'-x+1/2,y+1/2,z+1/2'
'-y+3/4,-x+3/4,-z+1/4'
'y+3/4,x+3/4,z+1/4'
'-x,y+1/2,-z'
'x,-y+1/2,z'
'y+3/4,x+1/4,-z+3/4'
'-y+3/4,-x+1/4,z+3/4'
loop_
_atom_site_label
_atom_site_fract_x
_atom_site_fract_y
_atom_site_fract_z
_atom_site_occupancy
Sm1 0.000 0.250 0.375 1
B1 0.000 0.000 0.000 1
B2 0.000 0.250 0.875 1
B3 0.143 0.058 0.677 1
```

## CaOsBr6 (PBE-GGA)

Data for an optimized crystal structure of CaOsBr6.

Output
* formation energy (no corrections): -18.43 kcal/mol of atoms
* calculated density: 3.7 g/cm3
* energy: -3.71 eV/atom

```
data_CaOsBr6
_chemical_formula_sum 'Ca2 Os2 Br12'
_cell_length_a 8.655
_cell_length_b 11.537
_cell_length_c 6.927
_cell_angle_alpha 90.00
_cell_angle_beta 111.16
_cell_angle_gamma 90.00
_space_group_name_H-M_alt 'C 1 2/m 1'
_space_group_IT_number 12
loop_
_space_group_symop_operation_xyz
'x,y,z'
'-x,-y,-z'
'-x,y,-z'
'x,-y,z'
'x+1/2,y+1/2,z'
'-x+1/2,-y+1/2,-z'
'-x+1/2,y+1/2,-z'
'x+1/2,-y+1/2,z'
loop_
_atom_site_label
_atom_site_fract_x
_atom_site_fract_y
_atom_site_fract_z
_atom_site_occupancy
Ca1 0.000 0.000 0.000 1
Os1 0.000 0.000 0.500 1
Br1 0.127 0.156 0.765 1
Br2 0.243 0.500 0.591 1
```

## ZrZn4Ni (PBE-GGA)

Data for an optimized crystal structure of ZrZn4Ni.

Output
* calculated density: 7.5 g/cm3
* excess energy over the best structure of this formula in the dataset: 0.1799 eV/atom
* energy: -3.31 eV/atom
* E_form: -68 meV per atom

```
data_ZrZn4Ni
_chemical_formula_sum 'Zr4 Zn16 Ni4'
_cell_length_a 7.153
_cell_length_b 7.153
_cell_length_c 7.153
_cell_angle_alpha 90.00
_cell_angle_beta 90.00
_cell_angle_gamma 90.00
_space_group_name_H-M_alt 'F -4 3 m'
_space_group_IT_number 216
_space_group_name_Hall 'F -4 2 3'
loop_
_atom_site_label
_atom_site_fract_x
_atom_site_fract_y
_atom_site_fract_z
_atom_site_occupancy
Zr1 0.000 0.000 0.000 1
Zn1 0.125 0.125 0.375 1
Ni1 0.250 0.250 0.750 1
```